1.
Density functional theory data (PBE-GGA) for an optimized crystal structure of HfTcRu.

Cell: 5.090 5.090 5.327 Å, 113.19 113.19 52.86°
Atoms (fractional coordinates):
Hf 0.166 0.166 0.283
Hf 0.834 0.834 0.717
Tc 0.500 0.500 0.000
Tc 0.500 0.500 0.500
Ru 0.155 0.155 0.782
Ru 0.845 0.845 0.218

Output
Distance to the lowest polymorph of the same formula ... 174 meV per atom
Energy relative to the elements ... -0.19 eV/atom
Calculated total energy ... -10.053 eV per atom
Symmetry ... C2/m (12)
Volume ... 16.47 Å³/atom



2.
Density functional theory data (PBE-GGA) for an optimized crystal structure of Nd2PaIr3.

Cell: 7.196 7.196 7.920 Å, 105.80 105.80 47.71°
Atoms (fractional coordinates):
Nd 0.144 0.191 0.083
Nd 0.191 0.144 0.583
Nd 0.809 0.856 0.417
Nd 0.856 0.809 0.917
Pa 0.485 0.515 0.750
Pa 0.515 0.485 0.250
Ir 0.012 0.988 0.250
Ir 0.328 0.373 0.423
Ir 0.373 0.328 0.923
Ir 0.627 0.672 0.077
Ir 0.672 0.627 0.577
Ir 0.988 0.012 0.750

Output
Energy relative to the elements ... -0.62 eV/atom
Calculated total energy ... -8.222 eV per atom
Symmetry ... C2/c (15)
Volume ... 24.14 Å³/atom



Question: Which value of calculated total energy does entry 1 give?
Answer: -10.053 eV per atom